# 1
Computed, not measured: an optimized crystal structure of NbAsCSe2 at the PBE level of DFT.

abc: 4.3080 4.3080 4.3714
angles: 90.00 90.00 90.00
Positions (direct):
C: 0.0000 0.0000 0.0000
Nb: 0.5000 0.5000 0.5000
As: 0.0000 0.0000 0.5000
Se: 0.0000 0.5000 0.0000
Se: 0.5000 0.0000 0.0000

Computed properties:
Spin magnetization, μB/cell: 0.0
Formation energy from raw total energies, eV per atom: 0.99
E above lowest polymorph, meV per atom: 0

# 2
Computed, not measured: an optimized crystal structure of NbAsCSe2 at the PBE level of DFT.

abc: 4.9786 4.9786 5.0925
angles: 90.00 90.00 90.00
Last column: magnetic moment on the atom in μB.
Positions (direct):
C: 0.5000 0.5000 0.5000  0.90
Nb: 0.0000 0.0000 0.0000  0.19
As: 0.0000 0.0000 0.5000  -0.21
Se: 0.0000 0.5000 0.0000  -0.13
Se: 0.5000 0.0000 0.0000  -0.13

Computed properties:
Spin magnetization, μB/cell: 1.3
Formation energy from raw total energies, eV per atom: 1.39
E above lowest polymorph, meV per atom: 397

# 3
Computed, not measured: an optimized crystal structure of NbAs2CSe at the PBE level of DFT.

abc: 5.0252 5.0252 4.9480
angles: 90.00 90.00 90.00
Last column: magnetic moment on the atom in μB.
Positions (direct):
C: 0.5000 0.5000 0.5000  0.90
Nb: 0.0000 0.0000 0.0000  0.18
As: 0.0000 0.5000 0.0000  -0.10
As: 0.5000 0.0000 0.0000  -0.10
Se: 0.0000 0.0000 0.5000  -0.07

Computed properties:
Spin magnetization, μB/cell: 1.6
Formation energy from raw total energies, eV per atom: 1.51
E above lowest polymorph, meV per atom: 537

# 4
Computed, not measured: an optimized crystal structure of NbAs2CSe at the PBE level of DFT.

abc: 4.2076 4.2076 4.5982
angles: 90.00 90.00 90.00
Positions (direct):
C: 0.0000 0.0000 0.0000
Nb: 0.5000 0.5000 0.5000
As: 0.0000 0.5000 0.0000
As: 0.5000 0.0000 0.0000
Se: 0.0000 0.0000 0.5000

Computed properties:
Spin magnetization, μB/cell: 0.0
Formation energy from raw total energies, eV per atom: 0.98
E above lowest polymorph, meV per atom: 0

# 5
Computed, not measured: an optimized crystal structure of Nb2TlAsC at the PBE level of DFT.

abc: 5.3517 5.0247 5.3517
angles: 90.00 90.00 90.00
Last column: magnetic moment on the atom in μB.
Positions (direct):
C: 0.5000 0.5000 0.5000  -0.66
As: 0.0000 0.5000 0.0000  -0.05
Tl: 0.0000 0.0000 0.0000  0.02
Nb: 0.0000 0.0000 0.5000  2.00
Nb: 0.5000 0.0000 0.0000  1.83

Computed properties:
Spin magnetization, μB/cell: 3.4

# 6
Computed, not measured: an optimized crystal structure of NdAsC at the PBE level of DFT.

abc: 4.2747 4.2503 8.4388
angles: 104.59 104.67 90.00
Positions (direct):
As: 0.6711 0.1711 0.3421
As: 0.3289 0.8289 0.6579
C: 0.6469 0.5000 0.0000
C: 0.3531 0.5000 0.0000
Nd: 0.1319 0.6319 0.2639
Nd: 0.8681 0.3681 0.7361

Computed properties:
Spin magnetization, μB/cell: 0.0

# 7
Computed, not measured: an optimized crystal structure of Nd6As2C at the PBE level of DFT.

abc: 6.4537 7.8602 9.7269
angles: 90.00 91.70 90.00
Positions (direct):
Nd: 0.8713 0.9700 0.2505
Nd: 0.8607 0.7035 0.5523
Nd: 0.8338 0.6691 0.9500
Nd: 0.6662 0.1691 0.5500
Nd: 0.6393 0.2035 0.9477
Nd: 0.6287 0.4700 0.2495
Nd: 0.1287 0.0300 0.7495
Nd: 0.1393 0.2965 0.4477
Nd: 0.1662 0.3309 0.0500
Nd: 0.3338 0.8309 0.4500
Nd: 0.3607 0.7965 0.0523
Nd: 0.3713 0.5300 0.7505
As: 0.9315 0.3846 0.7485
As: 0.5685 0.8846 0.7515
As: 0.4315 0.1154 0.2485
As: 0.0685 0.6154 0.2515
C: 0.5000 0.5000 0.0000
C: 0.0000 0.0000 0.5000

Computed properties:
Spin magnetization, μB/cell: 0.9

# 8
Computed, not measured: an optimized crystal structure of NdAsRu2C at the PBE level of DFT.

abc: 4.0019 5.9205 7.3479
angles: 90.00 90.00 109.75
Positions (direct):
Nd: 0.4530 0.9060 0.7500
Nd: 0.5470 0.0940 0.2500
As: 0.7298 0.4595 0.7500
As: 0.2702 0.5405 0.2500
Ru: 0.1633 0.3267 0.9461
Ru: 0.8367 0.6733 0.0539
Ru: 0.1633 0.3267 0.5539
Ru: 0.8367 0.6733 0.4461
C: 0.0000 0.0000 0.0000
C: 0.0000 0.0000 0.5000

Computed properties:
Spin magnetization, μB/cell: 0.0

# 9
Computed, not measured: an optimized crystal structure of Nd4AsCS2 at the PBE level of DFT.

abc: 5.7632 5.7632 7.0707
angles: 114.05 114.05 90.00
Positions (direct):
Nd: 0.9747 0.4747 0.9494
Nd: 0.5253 0.0253 0.0506
Nd: 0.7514 0.7514 0.5029
Nd: 0.2486 0.2486 0.4971
As: 0.5000 0.5000 0.0000
C: 0.7500 0.2500 0.5000
S: 0.2500 0.7500 0.5000
S: 0.0000 0.0000 0.0000

Computed properties:
Spin magnetization, μB/cell: 0.0
Formation energy from raw total energies, eV per atom: -1.39

# 10
Computed, not measured: an optimized crystal structure of Nd6As2CSe3 at the PBE level of DFT.

abc: 4.1377 8.4742 9.4067
angles: 103.67 102.71 90.00
Positions (direct):
Nd: 0.3517 0.9220 0.7035
Nd: 0.6667 0.5789 0.3334
Nd: 0.6483 0.0780 0.2965
Nd: 0.0002 0.2145 0.0004
Nd: 0.9998 0.7855 0.9996
Nd: 0.3333 0.4211 0.6666
As: 0.8342 0.6675 0.6683
As: 0.1658 0.3325 0.3317
C: 0.5000 0.0000 0.0000
Se: 0.5000 0.5000 0.0000
Se: 0.8301 0.1638 0.6603
Se: 0.1699 0.8362 0.3397

Computed properties:
Spin magnetization, μB/cell: 0.0
Formation energy from raw total energies, eV per atom: -1.48

# 11
Computed, not measured: an optimized crystal structure of NiAsC2 at the PBE level of DFT.

abc: 4.6468 2.5474 8.9600
angles: 90.00 100.79 90.00
Positions (direct):
Ni: 0.1144 0.0000 0.0757
Ni: 0.1144 0.5000 0.5757
As: 0.6016 0.0000 0.0534
As: 0.6016 0.5000 0.5534
C: 0.2676 0.0000 0.8624
C: 0.2676 0.5000 0.3624
C: 0.2140 0.0000 0.2894
C: 0.2140 0.5000 0.7894

Computed properties:
Spin magnetization, μB/cell: 0.0
E above lowest polymorph, meV per atom: 91

# 12
Computed, not measured: an optimized crystal structure of NiAs3C at the PBE level of DFT.

abc: 4.5361 4.5361 4.5361
angles: 90.00 90.00 90.00
Positions (direct):
Ni: 0.0000 0.0000 0.0000
As: 0.0000 0.5000 0.0000
As: 0.0000 0.0000 0.5000
As: 0.5000 0.0000 0.0000
C: 0.5000 0.5000 0.5000

Computed properties:
Spin magnetization, μB/cell: 0.0
E above lowest polymorph, meV per atom: 489

Calculated VASP energy (eV/cell), listed in the same order as above: -25.96; -23.97; -24.51; -27.20; -20.73; -38.08; -106.28; -79.64; -52.29; -75.37; -53.23; -20.90